ZrTcAs2 at its PBEsol-relaxed geometry, computed with meta-GGA SCAN.

## Properties
The density of states at the Fermi level comes out at 12.38 states/eV/cell. Its formation energy is -89 meV/atom. For the volume, the calculation gives 286.8 Å³/cell. The calculation puts the polymorph energy (0 for the lowest one) at 0.140 eV per atom.

Cell lengths 3.9886, 3.9886, 18.0281 Å; angles 90.00, 90.00, 90.00 degrees
Space group I-42d (No. 122)
Symmetry-distinct sites (fractional):
Zr (0.0000, 0.0000, 0.0000) (multiplicity 4)
Tc (0.0000, 0.0000, 0.5000) (multiplicity 4)
As (0.2151, 0.2500, 0.6250) (multiplicity 8)

***

ZrTcAs2 at its PBEsol-relaxed geometry, computed with meta-GGA SCAN.

## Properties
The density of states at the Fermi level comes out at 7.34 states/eV/cell. Its formation energy is -224 meV/atom. For the volume, the calculation gives 136.3 Å³/cell. The calculation puts the polymorph energy (0 for the lowest one) at 0.005 eV per atom.

Cell lengths 3.2415, 5.0489, 8.3288 Å; angles 90.00, 90.00, 90.00 degrees
Space group Immm (No. 71)
Symmetry-distinct sites (fractional):
Zr (0.0000, 0.0000, 0.0000) (multiplicity 2)
Tc (0.0000, 0.0000, 0.5000) (multiplicity 2)
As (0.0000, 0.5000, 0.2264) (multiplicity 4)

***

Zr2TcAs at its PBEsol-relaxed geometry, computed with meta-GGA SCAN.

## Properties
The density of states at the Fermi level comes out at 5.27 states/eV/cell. Its formation energy is -480 meV/atom. For the volume, the calculation gives 140.0 Å³/cell.

Cell lengths 4.0953, 4.4802, 7.6294 Å; angles 90.00, 90.00, 90.00 degrees
Space group Immm (No. 71)
Symmetry-distinct sites (fractional):
Zr (0.0000, 0.0000, 0.2397) (multiplicity 4)
Tc (0.0000, 0.5000, 0.5000) (multiplicity 2)
As (0.0000, 0.5000, 0.0000) (multiplicity 2)

***

Table of theoretical density (g/cm³), in record order: 7.853 8.261 8.431